1.
CdFe2Re: relaxed, GGA-PBE.

a b c (Å): 8.701 2.730 5.051
angles (deg): 90.00 97.38 90.00
Element x y z (fractional)
Cd1 0.000 0.000 0.000
Cd2 0.500 0.500 0.000
Fe1 0.245 0.000 0.699
Fe2 0.255 0.500 0.301
Fe3 0.745 0.500 0.699
Fe4 0.755 0.000 0.301
Re1 0.000 0.500 0.500
Re2 0.500 0.000 0.500

Crystal system: monoclinic
Density, kg/m3: 11454
E, eV/cell: -56.85
Density of states at the Fermi level, states/eV per cell: 8.12

***

2.
Na4ScTl3O8: relaxed, GGA-PBE.

a b c (Å): 6.792 6.792 6.792
angles (deg): 59.21 59.21 59.21
Element x y z (fractional)
Na1 0.000 0.000 0.000
Na2 0.000 0.500 0.500
Na3 0.500 0.000 0.500
Na4 0.500 0.500 0.000
Sc1 0.500 0.500 0.500
Tl1 0.000 0.000 0.500
Tl2 0.000 0.500 0.000
Tl3 0.500 0.000 0.000
O1 0.241 0.241 0.241
O2 0.259 0.730 0.730
O3 0.270 0.270 0.741
O4 0.270 0.741 0.270
O5 0.730 0.259 0.730
O6 0.730 0.730 0.259
O7 0.741 0.270 0.270
O8 0.759 0.759 0.759

Crystal system: trigonal
Density, kg/m3: 6700
E, eV/cell: -82.16
Formation energy (no corrections), kJ per mole of atoms: -143

***

3.
Pm3Te2I2: relaxed, GGA-PBE.

a b c (Å): 4.338 7.671 7.781
angles (deg): 76.69 73.94 89.91
Element x y z (fractional)
Pm1 0.000 0.000 0.000
Pm2 0.266 0.747 0.467
Pm3 0.734 0.253 0.533
Te1 0.119 0.387 0.764
Te2 0.881 0.613 0.236
I1 0.382 0.163 0.236
I2 0.618 0.837 0.764

Crystal system: triclinic
Density, kg/m3: 6487
E, eV/cell: -31.92
Density of states at the Fermi level, states/eV per cell: 4.56
Formation energy (no corrections), kJ per mole of atoms: -114

***

4.
ScPbSe2Br: relaxed, GGA-PBE.

a b c (Å): 5.491 5.491 5.490
angles (deg): 90.00 90.00 90.00
Element x y z (fractional)
Sc1 0.000 0.000 0.000
Pb1 0.500 0.500 0.500
Se1 0.000 0.500 0.500
Se2 0.500 0.000 0.500
Br1 0.500 0.500 0.000

Crystal system: tetragonal
Density, kg/m3: 4916
Offset from the most stable computed form, eV per atom: 0.944
E, eV/cell: -18.52
Density of states at the Fermi level, states/eV per cell: 4.57
Formation energy (no corrections), kJ per mole of atoms: 3

***

5.
ZnSb2Ir: relaxed, GGA-PBE.

a b c (Å): 3.229 4.253 12.703
angles (deg): 90.00 90.00 90.00
Element x y z (fractional)
Zn1 0.000 0.000 0.000
Zn2 0.500 0.500 0.500
Sb1 0.000 0.500 0.173
Sb2 0.000 0.500 0.827
Sb3 0.500 0.000 0.327
Sb4 0.500 0.000 0.673
Ir1 0.000 0.000 0.500
Ir2 0.500 0.500 0.000

Crystal system: orthorhombic
Density, kg/m3: 9541
Offset from the most stable computed form, eV per atom: 0.043
E, eV/cell: -36.92
Density of states at the Fermi level, states/eV per cell: 3.53
Formation energy (no corrections), kJ per mole of atoms: -2

***

6.
Na2SnPb: relaxed, GGA-PBE.

a b c (Å): 4.701 4.701 4.984
angles (deg): 90.00 90.00 90.00
Element x y z (fractional)
Na1 0.000 0.500 0.000
Na2 0.500 0.000 0.000
Sn1 0.000 0.000 0.500
Pb1 0.500 0.500 0.500

Crystal system: tetragonal
Density, kg/m3: 5605
Offset from the most stable computed form, eV per atom: 0.000
E, eV/cell: -10.94
Density of states at the Fermi level, states/eV per cell: 1.56

***

7.
KTcSb2: relaxed, GGA-PBE.

a b c (Å): 5.741 5.741 3.080
angles (deg): 90.00 90.00 90.00
Element x y z (fractional)
K1 0.000 0.000 0.000
Tc1 0.500 0.500 0.000
Sb1 0.000 0.500 0.500
Sb2 0.500 0.000 0.500

Crystal system: tetragonal
Density, kg/m3: 6225
Offset from the most stable computed form, eV per atom: 0.795
E, eV/cell: -17.11
Density of states at the Fermi level, states/eV per cell: 2.66
Formation energy (no corrections), kJ per mole of atoms: 63

***

8.
Y2Sc2Pb: relaxed, GGA-PBE.

a b c (Å): 8.147 8.147 4.347
angles (deg): 90.00 90.00 90.00
Element x y z (fractional)
Y1 0.149 0.351 0.000
Y2 0.351 0.851 0.000
Y3 0.649 0.149 0.000
Y4 0.851 0.649 0.000
Sc1 0.147 0.647 0.500
Sc2 0.353 0.147 0.500
Sc3 0.647 0.853 0.500
Sc4 0.853 0.353 0.500
Pb1 0.000 0.000 0.000
Pb2 0.500 0.500 0.000

Crystal system: tetragonal
Density, kg/m3: 5468
Offset from the most stable computed form, eV per atom: 0.166
E, eV/cell: -58.15
Density of states at the Fermi level, states/eV per cell: 17.45

***

9.
KLi2PCl: relaxed, GGA-PBE.

a b c (Å): 6.336 6.336 5.128
angles (deg): 90.00 90.00 90.00
Element x y z (fractional)
K1 0.000 0.000 0.000
Li1 0.000 0.500 0.000
Li2 0.500 0.000 0.000
P1 0.000 0.000 0.500
Cl1 0.500 0.500 0.500

Crystal system: tetragonal
Density, kg/m3: 963
E, eV/cell: -9.38
Density of states at the Fermi level, states/eV per cell: 2.97
Formation energy (no corrections), kJ per mole of atoms: 54

***

10.
Li4VW3N8: relaxed, GGA-PBE.

a b c (Å): 6.173 6.173 6.173
angles (deg): 57.34 57.34 57.34
Element x y z (fractional)
Li1 0.000 0.000 0.000
Li2 0.000 0.500 0.500
Li3 0.500 0.000 0.500
Li4 0.500 0.500 0.000
V1 0.500 0.500 0.500
W1 0.000 0.000 0.500
W2 0.000 0.500 0.000
W3 0.500 0.000 0.000
N1 0.242 0.741 0.741
N2 0.244 0.244 0.244
N3 0.259 0.259 0.758
N4 0.259 0.758 0.259
N5 0.741 0.242 0.741
N6 0.741 0.741 0.242
N7 0.756 0.756 0.756
N8 0.758 0.259 0.259

Crystal system: trigonal
Density, kg/m3: 7895
E, eV/cell: -131.82
Density of states at the Fermi level, states/eV per cell: 7.56
Formation energy (no corrections), kJ per mole of atoms: -58

***

11.
Tb2CdHg5: relaxed, GGA-PBE.

a b c (Å): 5.109 5.109 15.003
angles (deg): 90.00 90.00 90.00
Element x y z (fractional)
Tb1 0.000 0.000 0.249
Tb2 0.000 0.000 0.751
Tb3 0.500 0.500 0.251
Tb4 0.500 0.500 0.749
Cd1 0.000 0.000 0.500
Cd2 0.500 0.500 0.000
Hg1 0.000 0.000 0.000
Hg2 0.000 0.500 0.123
Hg3 0.000 0.500 0.377
Hg4 0.000 0.500 0.623
Hg5 0.000 0.500 0.877
Hg6 0.500 0.000 0.123
Hg7 0.500 0.000 0.377
Hg8 0.500 0.000 0.623
Hg9 0.500 0.000 0.877
Hg10 0.500 0.500 0.500

Crystal system: tetragonal
Density, kg/m3: 12153
E, eV/cell: -27.47
Density of states at the Fermi level, states/eV per cell: 8.67

***

12.
SrMg2: relaxed, GGA-PBE.

a b c (Å): 6.534 6.534 5.332
angles (deg): 90.00 90.00 120.00
Element x y z (fractional)
Sr1 0.333 0.667 0.000
Sr2 0.667 0.333 0.000
Mg1 0.000 0.000 0.000
Mg2 0.000 0.723 0.500
Mg3 0.277 0.277 0.500
Mg4 0.723 0.000 0.500

Crystal system: hexagonal
Density, kg/m3: 2295
E, eV/cell: -9.37
Density of states at the Fermi level, states/eV per cell: 6.07

***

> Among the records above, which one has the lowest density?

KLi2PCl